# 1
20
Lattice="9.921 0.000 0.000 0.000 9.921 0.000 0.000 0.000 4.107" Properties=species:S:1:pos:R:3 comment="Sr2Ag2Pd5Au PBE relaxed" sg="P4/mbm (127)" formation_enthalpy_0k_ev_per_atom=-0.3296 pbc="T T T"
Sr 1.753 3.207 0.000
Sr 3.207 8.168 0.000
Sr 6.713 1.753 0.000
Sr 8.168 6.713 0.000
Ag 1.221 6.181 0.000
Ag 3.739 1.221 0.000
Ag 6.181 8.700 0.000
Ag 8.700 3.739 0.000
Pd 0.000 4.960 2.054
Pd 0.564 7.945 2.054
Pd 1.975 0.564 2.054
Pd 2.985 5.525 2.054
Pd 4.396 2.985 2.054
Pd 4.960 0.000 2.054
Pd 5.525 6.936 2.054
Pd 6.936 4.396 2.054
Pd 7.945 9.356 2.054
Pd 9.356 1.975 2.054
Au 0.000 0.000 0.000
Au 4.960 4.960 0.000



# 2
9
Lattice="9.096 0.000 0.000 -4.548 7.877 0.000 0.000 0.000 3.379" Properties=species:S:1:pos:R:3 comment="CeTl2Hg6 PBE relaxed" sg="P6/mmm (191)" formation_enthalpy_0k_ev_per_atom=-0.1077 pbc="T T T"
Ce 0.000 0.000 0.000
Tl 0.000 5.251 0.000
Tl 4.548 2.626 0.000
Hg -1.520 2.633 1.690
Hg -3.028 5.244 1.690
Hg 3.040 0.000 1.690
Hg 1.520 2.633 1.690
Hg 6.056 0.000 1.690
Hg 3.028 5.244 1.690



# 3
4
Lattice="3.931 0.000 0.000 0.000 3.931 0.000 0.000 0.000 9.587" Properties=species:S:1:pos:R:3 comment="Ac2TbIn PBE relaxed" sg="P4/mmm (123)" formation_enthalpy_0k_ev_per_atom=-0.1401 pbc="T T T"
Ac 0.000 0.000 2.209
Ac 0.000 0.000 7.377
Tb 1.965 1.965 4.793
In 1.965 1.965 0.000